Record 1
The following is a PBE calculation of a relaxed structure of ScTlAgAu, from the Open Quantum Materials Database.

Properties
**Calculated total energy**: -3.930 eV/atom
**Total magnetic moment**: 0.00 μB/f.u.
**Crystal system**: cubic
**Polymorph energy (0 for the lowest one)**: 7.1 kJ per mole of atoms
**Volume**: 20.05 Å³ per atom

Cell and atoms, written as CIF:
```
data_ScTlAgAu
_symmetry_space_group_name_H-M 'F -4 3 m'
_symmetry_Int_Tables_number 216
_symmetry_space_group_name_Hall 'F -4 2 3'
_cell_length_a 6.8458
_cell_length_b 6.8458
_cell_length_c 6.8458
_cell_angle_alpha 90.00
_cell_angle_beta 90.00
_cell_angle_gamma 90.00
loop_
_atom_site_label
_atom_site_type_symbol
_atom_site_fract_x
_atom_site_fract_y
_atom_site_fract_z
_atom_site_occupancy
Sc1 Sc 0.0000 0.0000 0.0000 1
Tl1 Tl 0.2500 0.2500 0.7500 1
Ag1 Ag 0.2500 0.2500 0.2500 1
Au1 Au 0.0000 0.0000 0.5000 1
```

=====

Record 2
The following is a PBE calculation of a relaxed structure of Dy6LuTe2Pd2, from the Open Quantum Materials Database.

Properties
**Calculated total energy**: -5.266 eV/atom
**Total magnetic moment**: 0.01 μB/f.u.
**Crystal system**: orthorhombic
**Volume**: 27.15 Å³ per atom

Cell and atoms, written as CIF:
```
data_Dy6LuTe2Pd2
_symmetry_space_group_name_H-M 'I m m 2'
_symmetry_Int_Tables_number 44
_cell_length_a 3.9333
_cell_length_b 15.7049
_cell_length_c 9.6683
_cell_angle_alpha 90.00
_cell_angle_beta 90.00
_cell_angle_gamma 90.00
loop_
_symmetry_equiv_pos_as_xyz
'x,y,z'
'-x,-y,z'
'-x,y,z'
'x,-y,z'
'x+1/2,y+1/2,z+1/2'
'-x+1/2,-y+1/2,z+1/2'
'-x+1/2,y+1/2,z+1/2'
'x+1/2,-y+1/2,z+1/2'
loop_
_atom_site_label
_atom_site_type_symbol
_atom_site_fract_x
_atom_site_fract_y
_atom_site_fract_z
_atom_site_occupancy
Dy1 Dy 0.0000 0.1291 0.0000 1
Dy2 Dy 0.0000 0.3182 0.7925 1
Dy3 Dy 0.0000 0.3579 0.1506 1
Lu1 Lu 0.0000 0.0000 0.4173 1
Te1 Te 0.0000 0.0000 0.7549 1
Te2 Te 0.0000 0.5000 0.6533 1
Pd1 Pd 0.0000 0.2359 0.4878 1
```

=====

Record 3
The following is a PBE calculation of a relaxed structure of TaBe2In, from the Open Quantum Materials Database.

Properties
**Calculated total energy**: -4.715 eV/atom
**Total magnetic moment**: 0.01 μB/f.u.
**Crystal system**: cubic
**Volume**: 15.39 Å³ per atom

Cell and atoms, written as CIF:
```
data_TaBe2In
_symmetry_space_group_name_H-M 'F -4 3 m'
_symmetry_Int_Tables_number 216
_symmetry_space_group_name_Hall 'F -4 2 3'
_cell_length_a 6.2675
_cell_length_b 6.2675
_cell_length_c 6.2675
_cell_angle_alpha 90.00
_cell_angle_beta 90.00
_cell_angle_gamma 90.00
loop_
_atom_site_label
_atom_site_type_symbol
_atom_site_fract_x
_atom_site_fract_y
_atom_site_fract_z
_atom_site_occupancy
Ta1 Ta 0.0000 0.0000 0.0000 1
Be1 Be 0.0000 0.0000 0.5000 1
Be2 Be 0.2500 0.2500 0.2500 1
In1 In 0.2500 0.2500 0.7500 1
```

=====

Record 4
The following is a PBE calculation of a relaxed structure of CsSmCdO3, from the Open Quantum Materials Database.

Properties
**Calculated total energy**: -5.549 eV/atom
**Total magnetic moment**: 0.00 μB/f.u.
**Crystal system**: orthorhombic
**Volume**: 20.85 Å³ per atom

Cell and atoms, written as CIF:
```
data_CsSmCdO3
_symmetry_space_group_name_H-M 'C m c m'
_symmetry_Int_Tables_number 63
_symmetry_space_group_name_Hall '-C 2c 2'
_cell_length_a 3.7022
_cell_length_b 14.3249
_cell_length_c 9.4366
_cell_angle_alpha 90.00
_cell_angle_beta 90.00
_cell_angle_gamma 90.00
loop_
_atom_site_label
_atom_site_type_symbol
_atom_site_fract_x
_atom_site_fract_y
_atom_site_fract_z
_atom_site_occupancy
Cs1 Cs 0.0000 0.1948 0.2500 1
Sm1 Sm 0.0000 0.5000 0.0000 1
Cd1 Cd 0.0000 0.0826 0.7500 1
O1 O 0.0000 0.1040 0.5285 1
O2 O 0.0000 0.4794 0.7500 1
```

=====

Record 5
The following is a PBE calculation of a relaxed structure of YScNb2, from the Open Quantum Materials Database.

Properties
**Calculated total energy**: -7.982 eV/atom
**Total magnetic moment**: 0.01 μB/f.u.
**Crystal system**: cubic
**ΔE_f**: 263 meV/atom
**Volume**: 21.55 Å³ per atom

Cell and atoms, written as CIF:
```
data_YScNb2
_symmetry_space_group_name_H-M 'F -4 3 m'
_symmetry_Int_Tables_number 216
_symmetry_space_group_name_Hall 'F -4 2 3'
_cell_length_a 7.0121
_cell_length_b 7.0121
_cell_length_c 7.0121
_cell_angle_alpha 90.00
_cell_angle_beta 90.00
_cell_angle_gamma 90.00
loop_
_atom_site_label
_atom_site_type_symbol
_atom_site_fract_x
_atom_site_fract_y
_atom_site_fract_z
_atom_site_occupancy
Y1 Y 0.0000 0.0000 0.0000 1
Sc1 Sc 0.2500 0.2500 0.2500 1
Nb1 Nb 0.0000 0.0000 0.5000 1
Nb2 Nb 0.2500 0.2500 0.7500 1
```

=====

Record 6
The following is a PBE calculation of a relaxed structure of SrIn3Hg, from the Open Quantum Materials Database.

Properties
**Calculated total energy**: -2.318 eV/atom
**Crystal system**: tetragonal
**Volume**: 28.75 Å³ per atom

Cell and atoms, written as CIF:
```
data_SrIn3Hg
_symmetry_space_group_name_H-M 'I -4 m 2'
_symmetry_Int_Tables_number 119
_symmetry_space_group_name_Hall 'I -4 -2'
_cell_length_a 4.8024
_cell_length_b 4.8024
_cell_length_c 12.4650
_cell_angle_alpha 90.00
_cell_angle_beta 90.00
_cell_angle_gamma 90.00
loop_
_atom_site_label
_atom_site_type_symbol
_atom_site_fract_x
_atom_site_fract_y
_atom_site_fract_z
_atom_site_occupancy
Sr1 Sr 0.0000 0.0000 0.0000 1
In1 In 0.0000 0.0000 0.3876 1
In2 In 0.0000 0.5000 0.7500 1
Hg1 Hg 0.0000 0.5000 0.2500 1
```

=====

Record 7
The following is a PBE calculation of a relaxed structure of SmCl2, from the Open Quantum Materials Database.

Properties
**Calculated total energy**: -4.683 eV/atom
**Total magnetic moment**: 0.34 μB/f.u.
**Crystal system**: monoclinic
**Volume**: 24.09 Å³ per atom

Cell and atoms, written as CIF:
```
data_SmCl2
_symmetry_space_group_name_H-M 'P 1 21/c 1'
_symmetry_Int_Tables_number 14
_cell_length_a 7.8537
_cell_length_b 3.6442
_cell_length_c 10.4527
_cell_angle_alpha 90.00
_cell_angle_beta 104.89
_cell_angle_gamma 90.00
loop_
_symmetry_equiv_pos_as_xyz
'x,y,z'
'-x,-y,-z'
'-x,y+1/2,-z+1/2'
'x,-y+1/2,z+1/2'
loop_
_atom_site_label
_atom_site_type_symbol
_atom_site_fract_x
_atom_site_fract_y
_atom_site_fract_z
_atom_site_occupancy
Sm1 Sm 0.2348 0.2460 0.1742 1
Cl1 Cl 0.0713 0.2472 0.3914 1
Cl2 Cl 0.4273 0.7466 0.3648 1
```

=====

Record 8
The following is a PBE calculation of a relaxed structure of Zn4Au3, from the Open Quantum Materials Database.

Properties
**Calculated total energy**: -2.273 eV/atom
**Crystal system**: hexagonal
**ΔE_f**: -150 meV/atom
**Polymorph energy (0 for the lowest one)**: 3.2 kJ per mole of atoms
**Volume**: 16.17 Å³ per atom

Cell and atoms, written as CIF:
```
data_Zn4Au3
_symmetry_space_group_name_H-M 'P 63/m'
_symmetry_Int_Tables_number 176
_symmetry_space_group_name_Hall '-P 6c'
_cell_length_a 7.4805
_cell_length_b 7.4805
_cell_length_c 4.6722
_cell_angle_alpha 90.00
_cell_angle_beta 90.00
_cell_angle_gamma 120.00
loop_
_atom_site_label
_atom_site_type_symbol
_atom_site_fract_x
_atom_site_fract_y
_atom_site_fract_z
_atom_site_occupancy
Zn1 Zn 0.1028 0.4766 0.2500 1
Zn2 Zn 0.3333 0.6667 0.7500 1
Au1 Au 0.0541 0.2622 0.7500 1
```

=====

Record 9
The following is a PBE calculation of a relaxed structure of Tc2HgSb, from the Open Quantum Materials Database.

Properties
**Calculated total energy**: -5.553 eV/atom
**Total magnetic moment**: 0.45 μB/f.u.
**Crystal system**: cubic
**Volume**: 18.32 Å³ per atom

Cell and atoms, written as CIF:
```
data_Tc2HgSb
_symmetry_space_group_name_H-M 'F -4 3 m'
_symmetry_Int_Tables_number 216
_symmetry_space_group_name_Hall 'F -4 2 3'
_cell_length_a 6.6425
_cell_length_b 6.6425
_cell_length_c 6.6425
_cell_angle_alpha 90.00
_cell_angle_beta 90.00
_cell_angle_gamma 90.00
loop_
_atom_site_label
_atom_site_type_symbol
_atom_site_fract_x
_atom_site_fract_y
_atom_site_fract_z
_atom_site_occupancy
Tc1 Tc 0.0000 0.0000 0.0000 1
Tc2 Tc 0.2500 0.2500 0.2500 1
Hg1 Hg 0.2500 0.2500 0.7500 1
Sb1 Sb 0.0000 0.0000 0.5000 1
```

=====

Record 10
The following is a PBE calculation of a relaxed structure of SmMgCo, from the Open Quantum Materials Database.

Properties
**Calculated total energy**: -4.576 eV/atom
**Total magnetic moment**: 0.37 μB/f.u.
**Crystal system**: orthorhombic
**Volume**: 22.18 Å³ per atom

Cell and atoms, written as CIF:
```
data_SmMgCo
_symmetry_space_group_name_H-M 'C m c m'
_symmetry_Int_Tables_number 63
_symmetry_space_group_name_Hall '-C 2c 2'
_cell_length_a 3.9892
_cell_length_b 17.2349
_cell_length_c 3.8716
_cell_angle_alpha 90.00
_cell_angle_beta 90.00
_cell_angle_gamma 90.00
loop_
_atom_site_label
_atom_site_type_symbol
_atom_site_fract_x
_atom_site_fract_y
_atom_site_fract_z
_atom_site_occupancy
Sm1 Sm 0.0000 0.0901 0.2500 1
Mg1 Mg 0.0000 0.2972 0.2500 1
Co1 Co 0.0000 0.4646 0.2500 1
```